Record 1
A plane-wave DFT calculation with PBE was carried out for a relaxed structure of CeZrCo.

Properties
- E above lowest polymorph: 0 meV/atom
- Crystal system: monoclinic

Cell lengths 5.989, 6.316, 7.042 Å; angles 86.73, 90.00, 90.00 degrees
Sites, in units of the cell vectors:
Co 0.683 0.530 0.395
Co 0.183 0.970 0.105
Co 0.817 0.030 0.895
Co 0.317 0.470 0.605
Ce 0.130 0.728 0.368
Ce 0.630 0.772 0.132
Ce 0.370 0.228 0.868
Ce 0.870 0.272 0.632
Zr 0.576 0.803 0.650
Zr 0.076 0.697 0.850
Zr 0.424 0.197 0.350
Zr 0.924 0.303 0.150

=====

Record 2
A plane-wave DFT calculation with PBE was carried out for a relaxed structure of CeCr6.

Properties
- Crystal system: cubic

Cell lengths 5.392, 5.392, 5.392 Å; angles 109.47, 109.47, 109.47 degrees
Sites, in units of the cell vectors:
Cr 0.500 0.750 0.250
Cr 0.250 0.750 0.500
Cr 0.250 0.500 0.750
Cr 0.750 0.250 0.500
Cr 0.750 0.500 0.250
Cr 0.500 0.250 0.750
Ce 0.000 0.000 0.000

=====

Record 3
A plane-wave DFT calculation with PBE was carried out for a relaxed structure of CeCr4.

Properties
- Crystal system: cubic

Cell lengths 4.431, 4.431, 4.431 Å; angles 90.00, 90.00, 90.00 degrees
Sites, in units of the cell vectors:
Ce 0.500 0.500 0.500
Cr 0.500 0.000 0.500
Cr 0.000 0.000 0.000
Cr 0.000 0.500 0.500
Cr 0.500 0.500 0.000

=====

Record 4
A plane-wave DFT calculation with PBE was carried out for a relaxed structure of Ce3Cr.

Properties
- Crystal system: tetragonal

Cell lengths 5.836, 5.836, 5.836 Å; angles 136.34, 136.34, 63.45 degrees
Sites, in units of the cell vectors:
Ce 0.500 0.500 0.000
Ce 0.250 0.750 0.500
Ce 0.750 0.250 0.500
Cr 0.000 0.000 0.000

=====

Number 1: E_form -0.09 eV/atom, size of the total moment 0.000 μB per cell. Number 2: E_form 1.21 eV/atom, size of the total moment 1.146 μB per cell. Number 3: E_form 1.59 eV/atom, size of the total moment 0.122 μB per cell. Number 4: E_form 0.28 eV/atom, size of the total moment 0.946 μB per cell.